Record 1
This record from the Open Quantum Materials Database describes a relaxed structure of HfFeHg. The functional is PBE.

Cell and atoms, written as POSCAR:
```
HfFeHg
1.0
6.1491 0.0000 0.0000
0.0000 6.1491 0.0000
0.0000 0.0000 6.1491
Hf Fe Hg
4 4 4
Cartesian
0.0000 0.0000 0.0000
0.0000 3.0745 3.0745
3.0745 0.0000 3.0745
3.0745 3.0745 0.0000
1.5373 1.5373 1.5373
1.5373 4.6118 4.6118
4.6118 1.5373 4.6118
4.6118 4.6118 1.5373
0.0000 0.0000 3.0745
0.0000 3.0745 0.0000
3.0745 0.0000 0.0000
3.0745 3.0745 3.0745
```

Output
Electronic total energy (eV per atom): -5.839
Total magnetization (μB/cell): 1.90

Record 2
This record from the Open Quantum Materials Database describes a relaxed structure of HfFe2Hg. The functional is PBE.

Cell and atoms, written as POSCAR:
```
HfFe2Hg
1.0
6.3930 0.0000 0.0000
0.0000 6.3930 0.0000
0.0000 0.0000 6.3930
Hf Fe Hg
4 8 4
Cartesian
0.0000 0.0000 0.0000
0.0000 3.1965 3.1965
3.1965 0.0000 3.1965
3.1965 3.1965 0.0000
0.0000 0.0000 3.1965
0.0000 3.1965 0.0000
1.5983 1.5983 1.5983
1.5983 4.7948 4.7948
3.1965 0.0000 0.0000
3.1965 3.1965 3.1965
4.7948 1.5983 4.7948
4.7948 4.7948 1.5983
1.5983 1.5983 4.7948
1.5983 4.7948 1.5983
4.7948 1.5983 1.5983
4.7948 4.7948 4.7948
```

Output
Electronic total energy (eV per atom): -6.505
Total magnetization (μB/cell): 17.58